This record from the Alexandria database describes a geometry-optimized SrTa2Hg structure. The functional is GGA-PBEsol.

POSCAR file:
```
SrTa2Hg
1.0
2.9320 0.0000 0.0000
0.0000 2.9320 0.0000
0.0000 0.0000 9.8961
Hg Sr Ta
1 1 2
Direct
0.0000 0.0000 0.4762
0.5000 0.5000 0.7387
0.0000 0.0000 0.0338
0.5000 0.5000 0.2513
```

Space-group type = P4mm (99)
Formation energy from the elements = 0.4066 eV per atom